[1]
Crystalline CaCdIn2H at its relaxed geometry. Source: Alexandria, functional PBE.

abc: 4.8109 4.8109 4.5689
angles: 90.00 90.00 90.00
Last column: nearest neighbours and their distance in Å.
Fractional positions:
In 0.0000 0.5000 0.0000  2 H 2.41
In 0.5000 0.0000 0.0000  2 H 2.41
Cd 0.5000 0.5000 0.5000  8 In 3.32, 4 Ca 3.40
H 0.0000 0.0000 0.0000  2 Ca 2.28, 4 In 2.41
Ca 0.0000 0.0000 0.5000  2 H 2.28

Computed properties:
Size of the total moment ... 0.000 μB per cell
D(E_F) ... 2.08 states/eV per cell
E_tot ... -12.45 eV/cell
Symmetry ... P4/mmm, No. 123
ρ ... 6.0 g cm⁻³

***

[2]
Crystalline CaCd2InH at its relaxed geometry. Source: Alexandria, functional PBE.

abc: 4.8398 4.8398 4.4151
angles: 90.00 90.00 90.00
Last column: nearest neighbours and their distance in Å.
Fractional positions:
Cd 0.5000 0.0000 0.0000  2 H 2.42
Cd 0.0000 0.5000 0.0000  2 H 2.42
Ca 0.0000 0.0000 0.5000  2 H 2.21
H 0.0000 0.0000 0.0000  2 Ca 2.21, 4 Cd 2.42
In 0.5000 0.5000 0.5000  8 Cd 3.28, 4 Ca 3.42

Computed properties:
Size of the total moment ... 0.000 μB per cell
D(E_F) ... 1.86 states/eV per cell
E_tot ... -10.68 eV/cell
Symmetry ... P4/mmm, No. 123
ρ ... 6.1 g cm⁻³

***

[3]
Crystalline CaCdH6Ir at its relaxed geometry. Source: Alexandria, functional PBE.

abc: 4.6113 4.9224 4.9224
angles: 120.00 90.00 90.00
Last column: nearest neighbours and their distance in Å.
Fractional positions:
H 0.7478 0.2708 0.0324  1 Ir 1.70
H 0.2522 0.7616 0.0324  1 Ir 1.70
H 0.2522 0.2708 0.2384  1 Ir 1.70
H 0.7478 0.7616 0.7292  1 Ir 1.70
H 0.2522 0.9676 0.7292  1 Ir 1.70
H 0.7478 0.9676 0.2384  1 Ir 1.70
Ir 0.5000 0.0000 0.0000  6 H 1.70
Ca 0.0000 0.3333 0.6667  6 H 2.29
Cd 0.5000 0.6667 0.3333  6 H 2.10

Computed properties:
Size of the total moment ... 0.000 μB per cell
D(E_F) ... 1.46 states/eV per cell
E_tot ... -33.75 eV/cell
Symmetry ... P312, No. 149
ρ ... 6.0 g cm⁻³

***

[4]
Crystalline Ca2CdHIr at its relaxed geometry. Source: Alexandria, functional PBE.

abc: 5.0924 5.0924 3.6946
angles: 90.00 90.00 90.00
Last column: nearest neighbours and their distance in Å.
Fractional positions:
Ir 0.0000 0.0000 0.5000  2 H 1.85
Ca 0.5000 0.0000 0.0000  2 H 2.55
Ca 0.0000 0.5000 0.0000  2 H 2.55
Cd 0.5000 0.5000 0.5000  8 Ca 3.15
H 0.0000 0.0000 0.0000  2 Ir 1.85

Computed properties:
Size of the total moment ... 0.000 μB per cell
D(E_F) ... 2.58 states/eV per cell
E_tot ... -18.87 eV/cell
Symmetry ... P4/mmm, No. 123
ρ ... 6.7 g cm⁻³

***

[5]
Crystalline CaCdH8Ir2 at its relaxed geometry. Source: Alexandria, functional PBE.

abc: 4.9978 4.9978 6.2652
angles: 66.49 66.49 60.00
Last column: nearest neighbours and their distance in Å.
Fractional positions:
H 0.8032 0.8032 0.5903  1 Ir 1.67
H 0.8966 0.5415 0.1582  1 Ir 1.72
H 0.5415 0.4037 0.1582  1 Ir 1.72
H 0.5963 0.1034 0.8418  1 Ir 1.72
H 0.4585 0.5963 0.8418  1 Ir 1.72
H 0.1034 0.4585 0.8418  1 Ir 1.72
H 0.4037 0.8966 0.1582  1 Ir 1.72
H 0.1968 0.1968 0.4097  1 Ir 1.67
Cd 0.0000 0.0000 0.0000  6 H 2.34
Ca 0.5000 0.5000 0.5000  6 H 2.29
Ir 0.2968 0.2968 0.1095  4 H 1.67-1.72
Ir 0.7032 0.7032 0.8905  4 H 1.67-1.72

Computed properties:
Size of the total moment ... 0.000 μB per cell
D(E_F) ... 0.05 states/eV per cell
E_tot ... -48.33 eV/cell
Symmetry ... R-3, No. 148
ρ ... 7.5 g cm⁻³

***

[6]
Crystalline K2CaCdH at its relaxed geometry. Source: Alexandria, functional PBE.

abc: 5.3740 5.3740 5.3449
angles: 90.00 90.00 90.00
Last column: nearest neighbours and their distance in Å.
Fractional positions:
H 0.0000 0.0000 0.0000  2 Ca 2.67, 4 K 2.69
Cd 0.5000 0.5000 0.5000  8 K 3.79, 4 Ca 3.80
K 0.0000 0.5000 0.0000  2 H 2.69
K 0.5000 0.0000 0.0000  2 H 2.69
Ca 0.0000 0.0000 0.5000  2 H 2.67

Computed properties:
Size of the total moment ... 0.000 μB per cell
D(E_F) ... 3.09 states/eV per cell
E_tot ... -8.61 eV/cell
Symmetry ... P4/mmm, No. 123
ρ ... 2.5 g cm⁻³

***

[7]
Crystalline CaLa2CdH at its relaxed geometry. Source: Alexandria, functional PBE.

abc: 5.0916 5.0916 5.0627
angles: 90.00 90.00 90.00
Last column: nearest neighbours and their distance in Å.
Fractional positions:
Cd 0.0000 0.0000 0.5000  2 H 2.53
La 0.0000 0.5000 0.0000  2 H 2.55
La 0.5000 0.0000 0.0000  2 H 2.55
H 0.0000 0.0000 0.0000  2 Cd 2.53, 4 La 2.55
Ca 0.5000 0.5000 0.5000  8 La 3.59, 4 Cd 3.60

Computed properties:
Size of the total moment ... 0.000 μB per cell
D(E_F) ... 4.44 states/eV per cell
E_tot ... -17.02 eV/cell
Symmetry ... P4/mmm, No. 123
ρ ... 5.5 g cm⁻³

***

[8]
Crystalline CaLa2CdH at its relaxed geometry. Source: Alexandria, functional PBE.

abc: 5.0333 5.2086 5.0333
angles: 90.00 90.00 90.00
Last column: nearest neighbours and their distance in Å.
Fractional positions:
La 0.0000 0.0000 0.5000  2 H 2.52
La 0.5000 0.0000 0.0000  2 H 2.52
Cd 0.5000 0.5000 0.5000  4 Ca 3.56, 8 La 3.62
H 0.0000 0.0000 0.0000  4 La 2.52, 2 Ca 2.60
Ca 0.0000 0.5000 0.0000  2 H 2.60

Computed properties:
Size of the total moment ... 0.000 μB per cell
D(E_F) ... 5.44 states/eV per cell
E_tot ... -17.32 eV/cell
Symmetry ... P4/mmm, No. 123
ρ ... 5.4 g cm⁻³

***

[9]
Crystalline Li2CaCdH at its relaxed geometry. Source: Alexandria, functional PBE.

abc: 4.5105 4.5105 4.6344
angles: 90.00 90.00 90.00
Last column: nearest neighbours and their distance in Å.
Fractional positions:
Ca 0.0000 0.0000 0.5000  2 H 2.32
Cd 0.5000 0.5000 0.5000  4 Ca 3.19, 8 Li 3.23
Li 0.0000 0.5000 0.0000  2 H 2.26
Li 0.5000 0.0000 0.0000  2 H 2.26
H 0.0000 0.0000 0.0000  4 Li 2.26, 2 Ca 2.32

Computed properties:
Size of the total moment ... 0.000 μB per cell
D(E_F) ... 1.52 states/eV per cell
E_tot ... -11.28 eV/cell
Symmetry ... P4/mmm, No. 123
ρ ... 2.9 g cm⁻³

***

[10]
Crystalline LiCa2CdH at its relaxed geometry. Source: Alexandria, functional PBE.

abc: 4.9982 4.9982 4.5631
angles: 90.00 90.00 90.00
Last column: nearest neighbours and their distance in Å.
Fractional positions:
Li 0.5000 0.5000 0.5000  8 Ca 3.38, 4 Cd 3.53
Ca 0.0000 0.5000 0.0000  2 H 2.50
Ca 0.5000 0.0000 0.0000  2 H 2.50
Cd 0.0000 0.0000 0.5000  2 H 2.28
H 0.0000 0.0000 0.0000  2 Cd 2.28, 4 Ca 2.50

Computed properties:
Size of the total moment ... 0.000 μB per cell
D(E_F) ... 2.66 states/eV per cell
E_tot ... -11.00 eV/cell
Symmetry ... P4/mmm, No. 123
ρ ... 2.9 g cm⁻³

***

[11]
Crystalline LiCa2CdH at its relaxed geometry. Source: Alexandria, functional PBE.

abc: 5.1509 4.1084 5.1509
angles: 90.00 90.00 90.00
Last column: nearest neighbours and their distance in Å.
Fractional positions:
Ca 0.5000 0.0000 0.0000  2 H 2.58
Ca 0.0000 0.0000 0.5000  2 H 2.58
H 0.0000 0.0000 0.0000  2 Li 2.05
Li 0.0000 0.5000 0.0000  2 H 2.05
Cd 0.5000 0.5000 0.5000  8 Ca 3.29, 4 Li 3.64

Computed properties:
Size of the total moment ... 0.000 μB per cell
D(E_F) ... 3.15 states/eV per cell
E_tot ... -11.75 eV/cell
Symmetry ... P4/mmm, No. 123
ρ ... 3.1 g cm⁻³

***

[12]
Crystalline NaCa2CdH at its relaxed geometry. Source: Alexandria, functional PBE.

abc: 5.1769 5.1769 4.4838
angles: 90.00 90.00 90.00
Last column: nearest neighbours and their distance in Å.
Fractional positions:
Ca 0.0000 0.5000 0.0000  2 H 2.59
Ca 0.5000 0.0000 0.0000  2 H 2.59
Na 0.0000 0.0000 0.5000  2 H 2.24
Cd 0.5000 0.5000 0.5000  8 Ca 3.42, 4 Na 3.66
H 0.0000 0.0000 0.0000  2 Na 2.24

Computed properties:
Size of the total moment ... 0.000 μB per cell
D(E_F) ... 2.81 states/eV per cell
E_tot ... -10.73 eV/cell
Symmetry ... P4/mmm, No. 123
ρ ... 3.0 g cm⁻³

***

[13]
Crystalline NaCa2CdH at its relaxed geometry. Source: Alexandria, functional PBE.

abc: 5.0471 5.0471 4.9646
angles: 90.00 90.00 90.00
Last column: nearest neighbours and their distance in Å.
Fractional positions:
H 0.0000 0.0000 0.0000  2 Cd 2.48, 4 Ca 2.52
Na 0.5000 0.5000 0.5000  8 Ca 3.54, 4 Cd 3.57
Cd 0.0000 0.0000 0.5000  2 H 2.48
Ca 0.5000 0.0000 0.0000  2 H 2.52
Ca 0.0000 0.5000 0.0000  2 H 2.52

Computed properties:
Size of the total moment ... 0.000 μB per cell
D(E_F) ... 2.63 states/eV per cell
E_tot ... -10.09 eV/cell
Symmetry ... P4/mmm, No. 123
ρ ... 2.8 g cm⁻³